# 1
This record from Alexandria via LeMat-Bulk describes Cs4K2Zn after structural relaxation. The functional is PBE.

a = 7.352 Å, b = 7.352 Å, c = 13.007 Å
α = 73.58°, β = 73.58°, γ = 90.00°
Fractional positions:
Cs (0.500, 0.000, 0.000)
Cs (0.167, 0.167, 0.666)
Cs (0.000, 0.500, 0.000)
Cs (0.833, 0.833, 0.334)
K (0.363, 0.363, 0.273)
K (0.637, 0.637, 0.727)
Zn (0.000, 0.000, 0.000)

Density of states at the Fermi level (states/eV per cell): 7.13
E_tot (Ry per atom): -0.0646
ΔH_f (0 K) (eV per formula unit): 0.73

=====

# 2
This record from Alexandria via LeMat-Bulk describes CsK2Zn after structural relaxation. The functional is PBE.

a = 5.249 Å, b = 5.249 Å, c = 11.803 Å
α = 76.82°, β = 76.82°, γ = 60.00°
Fractional positions:
Zn (0.666, 0.666, 0.001)
K (0.280, 0.280, 0.156)
K (0.053, 0.053, 0.845)
Cs (0.501, 0.501, 0.498)

Density of states at the Fermi level (states/eV per cell): 3.45
E_tot (Ry per atom): -0.0688
ΔH_f (0 K) (eV per formula unit): 0.58

=====

# 3
This record from Alexandria via LeMat-Bulk describes Cs6K8Zn after structural relaxation. The functional is PBE.

a = 11.262 Å, b = 11.262 Å, c = 11.262 Å
α = 72.43°, β = 72.43°, γ = 72.43°
Fractional positions:
Cs (0.443, 0.622, 0.170)
Cs (0.170, 0.443, 0.622)
Cs (0.622, 0.170, 0.443)
Cs (0.378, 0.830, 0.557)
Cs (0.557, 0.378, 0.830)
Cs (0.830, 0.557, 0.378)
K (0.237, 0.237, 0.237)
K (0.032, 0.907, 0.319)
K (0.093, 0.681, 0.968)
K (0.968, 0.093, 0.681)
K (0.907, 0.319, 0.032)
K (0.681, 0.968, 0.093)
K (0.763, 0.763, 0.763)
K (0.319, 0.032, 0.907)
Zn (0.000, 0.000, 0.000)

Density of states at the Fermi level (states/eV per cell): 15.82
E_tot (Ry per atom): -0.0713
ΔH_f (0 K) (eV per formula unit): 0.62

=====

# 4
This record from Alexandria via LeMat-Bulk describes CsK2Zn after structural relaxation. The functional is PBE.

a = 4.774 Å, b = 4.774 Å, c = 15.890 Å
α = 81.36°, β = 81.36°, γ = 60.00°
Fractional positions:
Zn (0.000, 0.000, 0.000)
K (0.077, 0.077, 0.770)
K (0.923, 0.923, 0.230)
Cs (0.500, 0.500, 0.500)

Density of states at the Fermi level (states/eV per cell): 4.20
E_tot (Ry per atom): -0.0584
ΔH_f (0 K) (eV per formula unit): 1.14

=====

# 5
This record from Alexandria via LeMat-Bulk describes CsKZr2 after structural relaxation. The functional is PBE.

a = 4.788 Å, b = 4.788 Å, c = 14.141 Å
α = 80.25°, β = 80.25°, γ = 90.00°
Fractional positions:
Zr (0.375, 0.994, 0.750)
Zr (0.875, 0.256, 0.750)
Zr (0.744, 0.625, 0.250)
Zr (0.006, 0.125, 0.250)
K (0.500, 0.500, 0.000)
K (0.250, 0.750, 0.500)
Cs (0.750, 0.250, 0.500)
Cs (0.000, 0.000, 0.000)

Density of states at the Fermi level (states/eV per cell): 12.29
Offset from the most stable computed form (meV per atom): 0
E_tot (Ry per atom): -0.2486
ΔH_f (0 K) (eV per formula unit): 5.52

=====

# 6
This record from Alexandria via LeMat-Bulk describes CsKZr3 after structural relaxation. The functional is PBE.

a = 5.476 Å, b = 5.476 Å, c = 5.476 Å
α = 90.00°, β = 90.00°, γ = 90.00°
Fractional positions:
Cs (0.000, 0.000, 0.000)
Zr (0.000, 0.000, 0.500)
Zr (0.500, 0.000, 0.000)
Zr (0.000, 0.500, 0.000)
K (0.500, 0.500, 0.500)

Density of states at the Fermi level (states/eV per cell): 8.08
Offset from the most stable computed form (meV per atom): 0
E_tot (Ry per atom): -0.2610
ΔH_f (0 K) (eV per formula unit): 9.84

=====

# 7
This record from Alexandria via LeMat-Bulk describes Cs3KZr after structural relaxation. The functional is PBE.

a = 7.381 Å, b = 7.381 Å, c = 7.381 Å
α = 90.00°, β = 90.00°, γ = 90.00°
Fractional positions:
Zr (0.000, 0.000, 0.000)
Cs (0.000, 0.000, 0.500)
Cs (0.000, 0.500, 0.000)
Cs (0.500, 0.000, 0.000)
K (0.500, 0.500, 0.500)

Density of states at the Fermi level (states/eV per cell): 2.79
E_tot (Ry per atom): -0.1168
ΔH_f (0 K) (eV per formula unit): 4.26

=====

# 8
This record from Alexandria via LeMat-Bulk describes Cs2KZr after structural relaxation. The functional is PBE.

a = 6.907 Å, b = 6.907 Å, c = 6.907 Å
α = 60.00°, β = 60.00°, γ = 60.00°
Fractional positions:
K (0.000, 0.000, 0.000)
Cs (0.250, 0.250, 0.250)
Cs (0.750, 0.750, 0.750)
Zr (0.500, 0.500, 0.500)

Density of states at the Fermi level (states/eV per cell): 9.33
E_tot (Ry per atom): -0.1330
ΔH_f (0 K) (eV per formula unit): 4.11

=====

# 9
This record from Alexandria via LeMat-Bulk describes CsKZr3 after structural relaxation. The functional is PBE.

a = 5.513 Å, b = 5.513 Å, c = 5.513 Å
α = 90.00°, β = 90.00°, γ = 90.00°
Fractional positions:
Cs (0.500, 0.500, 0.500)
K (0.000, 0.000, 0.000)
Zr (0.000, 0.000, 0.500)
Zr (0.000, 0.500, 0.000)
Zr (0.500, 0.000, 0.000)

Density of states at the Fermi level (states/eV per cell): 9.02
Offset from the most stable computed form (meV per atom): 192
E_tot (Ry per atom): -0.2469
ΔH_f (0 K) (eV per formula unit): 10.80

=====

# 10
This record from Alexandria via LeMat-Bulk describes CsKZr2 after structural relaxation. The functional is PBE.

a = 5.789 Å, b = 5.789 Å, c = 5.789 Å
α = 60.00°, β = 60.00°, γ = 60.00°
Fractional positions:
Cs (0.500, 0.500, 0.500)
K (0.000, 0.000, 0.000)
Zr (0.250, 0.250, 0.250)
Zr (0.750, 0.750, 0.750)

Density of states at the Fermi level (states/eV per cell): 4.60
Offset from the most stable computed form (meV per atom): 346
E_tot (Ry per atom): -0.2232
ΔH_f (0 K) (eV per formula unit): 6.90

=====

# 11
This record from Alexandria via LeMat-Bulk describes CsK3Zr after structural relaxation. The functional is PBE.

a = 6.969 Å, b = 6.969 Å, c = 6.969 Å
α = 90.00°, β = 90.00°, γ = 90.00°
Fractional positions:
Cs (0.000, 0.000, 0.000)
Zr (0.500, 0.500, 0.500)
K (0.000, 0.000, 0.500)
K (0.000, 0.500, 0.000)
K (0.500, 0.000, 0.000)

Density of states at the Fermi level (states/eV per cell): 2.73
E_tot (Ry per atom): -0.0926
ΔH_f (0 K) (eV per formula unit): 6.39

=====

# 12
This record from Alexandria via LeMat-Bulk describes CsLa3 after structural relaxation. The functional is PBE.

a = 5.476 Å, b = 5.476 Å, c = 5.476 Å
α = 90.00°, β = 90.00°, γ = 90.00°
Fractional positions:
La (0.500, 0.000, 0.500)
La (0.500, 0.500, 0.000)
La (0.000, 0.500, 0.500)
Cs (0.000, 0.000, 0.000)

Density of states at the Fermi level (states/eV per cell): 5.60
E_tot (Ry per atom): -0.2492
ΔH_f (0 K) (eV per formula unit): 2.08

=====

> Among the records above, which one has the highest ΔH_f (0 K)?

number 9

=====

> Among the records above, which one has the lowest ΔH_f (0 K)?

number 2

=====

> Number 2 is which compound?

CsK2Zn

=====

> E_tot of number 9 (CsKZr3)?

-0.2469 Ry per atom